Record 1
This record from Alexandria describes crystalline DySc3Rh4 at its relaxed geometry. The functional is PBE.

Unit cell a=8.050 b=8.050 c=8.050 alpha=33.47 beta=33.47 gamma=33.47
Atoms (fractional coordinates):
1 Dy 0.000 0.000 0.000
2 Sc 0.247 0.247 0.247
3 Sc 0.500 0.500 0.500
4 Sc 0.753 0.753 0.753
5 Rh 0.127 0.127 0.127
6 Rh 0.378 0.378 0.378
7 Rh 0.622 0.622 0.622
8 Rh 0.873 0.873 0.873

Output
* crystal system: trigonal
* DOS(E_F): 0.34 states/eV/atom
* electronic total energy: -7.60 eV per atom


Record 2
This record from Alexandria describes crystalline Nb2Cr2GaRu5 at its relaxed geometry. The functional is PBE.

Unit cell a=9.186 b=9.186 c=3.538 alpha=90.00 beta=90.00 gamma=90.00
Atoms (fractional coordinates):
1 Nb 0.174 0.326 0.000
2 Nb 0.326 0.826 0.000
3 Nb 0.674 0.174 0.000
4 Nb 0.826 0.674 0.000
5 Cr 0.130 0.630 0.000
6 Cr 0.370 0.130 0.000
7 Cr 0.630 0.870 0.000
8 Cr 0.870 0.370 0.000
9 Ga 0.000 0.000 0.000
10 Ga 0.500 0.500 0.000
11 Ru 0.000 0.500 0.500
12 Ru 0.066 0.796 0.500
13 Ru 0.204 0.066 0.500
14 Ru 0.296 0.566 0.500
15 Ru 0.434 0.296 0.500
16 Ru 0.500 0.000 0.500
17 Ru 0.566 0.704 0.500
18 Ru 0.704 0.434 0.500
19 Ru 0.796 0.934 0.500
20 Ru 0.934 0.204 0.500

Output
* crystal system: tetragonal
* DOS(E_F): 0.94 states/eV/atom
* electronic total energy: -8.87 eV per atom


Record 3
This record from Alexandria describes crystalline Ca3Pr2ThTe6 at its relaxed geometry. The functional is PBE.

Unit cell a=10.182 b=10.182 c=9.171 alpha=105.70 beta=105.70 gamma=25.07
Atoms (fractional coordinates):
1 Ca 0.000 0.000 0.000
2 Ca 0.332 0.332 0.671
3 Ca 0.668 0.668 0.329
4 Pr 0.337 0.337 0.176
5 Pr 0.663 0.663 0.824
6 Th 0.000 0.000 0.500
7 Te 0.166 0.166 0.083
8 Te 0.167 0.167 0.572
9 Te 0.496 0.496 0.752
10 Te 0.504 0.504 0.248
11 Te 0.833 0.833 0.428
12 Te 0.834 0.834 0.917

Output
* crystal system: monoclinic
* DOS(E_F): 0.56 states/eV/atom
* uncorrected formation energy: -1.432 eV per atom
* electronic total energy: -4.92 eV per atom


Record 4
This record from Alexandria describes crystalline Eu4Au2O9 at its relaxed geometry. The functional is PBE.

Unit cell a=12.006 b=6.176 c=11.939 alpha=90.00 beta=90.00 gamma=90.00
Atoms (fractional coordinates):
1 Eu 0.004 0.243 0.088
2 Eu 0.004 0.757 0.588
3 Eu 0.160 0.200 0.761
4 Eu 0.160 0.800 0.261
5 Eu 0.340 0.300 0.261
6 Eu 0.340 0.700 0.761
7 Eu 0.496 0.257 0.588
8 Eu 0.496 0.743 0.088
9 Eu 0.504 0.257 0.912
10 Eu 0.504 0.743 0.412
11 Eu 0.660 0.300 0.239
12 Eu 0.660 0.700 0.739
13 Eu 0.840 0.200 0.739
14 Eu 0.840 0.800 0.239
15 Eu 0.996 0.243 0.412
16 Eu 0.996 0.757 0.912
17 Au 0.232 0.424 0.511
18 Au 0.232 0.576 0.011
19 Au 0.268 0.076 0.011
20 Au 0.268 0.924 0.511
21 Au 0.732 0.076 0.489
22 Au 0.732 0.924 0.989
23 Au 0.768 0.424 0.989
24 Au 0.768 0.576 0.489
25 O 0.000 0.023 0.250
26 O 0.000 0.977 0.750
27 O 0.080 0.395 0.587
28 O 0.080 0.605 0.087
29 O 0.113 0.065 0.945
30 O 0.113 0.935 0.445
31 O 0.165 0.444 0.353
32 O 0.165 0.556 0.853
33 O 0.195 0.122 0.160
34 O 0.195 0.878 0.660
35 O 0.305 0.378 0.660
36 O 0.305 0.622 0.160
37 O 0.335 0.056 0.853
38 O 0.335 0.944 0.353
39 O 0.387 0.435 0.445
40 O 0.387 0.565 0.945
41 O 0.420 0.105 0.087
42 O 0.420 0.895 0.587
43 O 0.500 0.477 0.750
44 O 0.500 0.523 0.250
45 O 0.580 0.105 0.413
46 O 0.580 0.895 0.913
47 O 0.613 0.435 0.055
48 O 0.613 0.565 0.555
49 O 0.665 0.056 0.647
50 O 0.665 0.944 0.147
51 O 0.695 0.378 0.840
52 O 0.695 0.622 0.340
53 O 0.805 0.122 0.340
54 O 0.805 0.878 0.840
55 O 0.835 0.444 0.147
56 O 0.835 0.556 0.647
57 O 0.887 0.065 0.555
58 O 0.887 0.935 0.055
59 O 0.920 0.395 0.913
60 O 0.920 0.605 0.413

Output
* crystal system: orthorhombic
* DOS(E_F): 1.59 states/eV/atom
* uncorrected formation energy: -1.893 eV per atom
* electronic total energy: -8.05 eV per atom


Record 5
This record from Alexandria describes crystalline CsTeP2Se at its relaxed geometry. The functional is PBE.

Unit cell a=5.118 b=5.118 c=7.670 alpha=90.00 beta=90.00 gamma=90.00
Atoms (fractional coordinates):
1 Cs 0.000 0.000 0.000
2 Te 0.000 0.000 0.500
3 P 0.000 0.500 0.500
4 P 0.500 0.000 0.500
5 Se 0.500 0.500 0.000

Output
* crystal system: tetragonal
* DOS(E_F): 1.26 states/eV/atom
* uncorrected formation energy: 0.703 eV per atom
* electronic total energy: -2.96 eV per atom


Record 6
This record from Alexandria describes crystalline Zn3TcI9 at its relaxed geometry. The functional is PBE.

Unit cell a=10.812 b=10.812 c=14.099 alpha=123.10 beta=123.10 gamma=55.02
Atoms (fractional coordinates):
1 Zn 0.046 0.954 0.500
2 Zn 0.286 0.498 0.589
3 Zn 0.498 0.286 0.089
4 Zn 0.563 0.725 0.450
5 Zn 0.725 0.563 0.950
6 Zn 0.954 0.046 0.000
7 Tc 0.041 0.491 0.769
8 Tc 0.491 0.041 0.269
9 I 0.021 0.738 0.515
10 I 0.038 0.199 0.705
11 I 0.061 0.770 0.831
12 I 0.148 0.353 0.581
13 I 0.199 0.038 0.205
14 I 0.249 0.802 0.384
15 I 0.353 0.148 0.081
16 I 0.360 0.395 0.910
17 I 0.395 0.360 0.410
18 I 0.454 0.667 0.782
19 I 0.581 0.976 0.469
20 I 0.621 0.717 0.140
21 I 0.667 0.454 0.282
22 I 0.717 0.621 0.640
23 I 0.738 0.021 0.015
24 I 0.770 0.061 0.331
25 I 0.802 0.249 0.884
26 I 0.976 0.581 0.969

Output
* crystal system: monoclinic
* DOS(E_F): 0.21 states/eV/atom
* uncorrected formation energy: -0.314 eV per atom
* electronic total energy: -2.48 eV per atom